Entry 1:
# KHfZn2 (GGA-PBE, optimized geometry)
data_KHfZn2
_chemical_formula_sum 'K4 Hf4 Zn8'
_cell_length_a 7.821
_cell_length_b 7.821
_cell_length_c 7.190
_cell_angle_alpha 90.00
_cell_angle_beta 90.00
_cell_angle_gamma 90.00
_symmetry_space_group_name_H-M 'I -4 2 d'
_symmetry_Int_Tables_number 122
_symmetry_space_group_name_Hall 'I -4 2bw'
loop_
_atom_site_label
_atom_site_fract_x
_atom_site_fract_y
_atom_site_fract_z
K1 0.000 0.000 0.000
Hf1 0.000 0.000 0.500
Zn1 0.207 0.750 0.625
# distance to the lowest polymorph of the same formula = 0.76 eV per formula unit

Entry 2:
# KHf3Zr (GGA-PBE, optimized geometry)
data_KHf3Zr
_chemical_formula_sum 'K1 Hf3 Zr1'
_cell_length_a 4.918
_cell_length_b 4.918
_cell_length_c 4.918
_cell_angle_alpha 90.00
_cell_angle_beta 90.00
_cell_angle_gamma 90.00
_symmetry_space_group_name_H-M 'P m -3 m'
_symmetry_Int_Tables_number 221
_symmetry_space_group_name_Hall '-P 4 2 3'
loop_
_atom_site_label
_atom_site_fract_x
_atom_site_fract_y
_atom_site_fract_z
K1 0.000 0.000 0.000
Hf1 0.000 0.000 0.500
Zr1 0.500 0.500 0.500
# distance to the lowest polymorph of the same formula = 3.38 eV per formula unit

no.,energy of formation from the pure elements (eV per atom),magnetization (μB per cell),uncorrected energy (eV per atom)
1,0.7277,0.0,-2.672
2,1.9401,1.0,-5.961